Crystalline Sr3Ga2N4 at its relaxed geometry. Source: Alexandria, functional PBE.

extended XYZ file:
```
18
Lattice="6.7139 -3.5432 0.0000 6.7139 3.5432 0.0000 -0.2136 0.0000 6.5840" Properties=species:S:1:pos:R:3 pbc="T T T"
Sr 6.5537 3.1873 4.9380
Sr 5.0195 0.7738 0.6772
Sr 4.9127 -0.7738 3.9691
Sr 8.3015 0.7738 2.6148
Sr 8.1947 -0.7738 5.9068
Sr 6.6605 -3.1873 1.6460
Ga 2.2661 0.7875 3.5369
Ga 2.3729 -0.7875 0.2449
Ga 10.8413 0.7875 6.3390
Ga 10.9481 -0.7875 3.0471
N 2.7390 0.3345 5.3901
N 5.7763 1.6659 3.1071
N 2.8458 -0.3345 2.0981
N 7.5447 1.6659 0.1848
N 5.6695 -1.6659 6.3991
N 10.3684 0.3345 4.4859
N 7.4379 -1.6659 3.4768
N 10.4752 -0.3345 1.1939
```

Results
total magnetization	0.000	μB per cell
raw formation energy	-0.46	eV/atom

Crystalline RbAuS6 at its relaxed geometry. Source: Alexandria, functional PBE.

extended XYZ file:
```
8
Lattice="5.4782 0.0000 0.0000 -2.0967 6.3843 0.0000 -2.3630 -0.8965 7.6497" Properties=species:S:1:pos:R:3 pbc="T T T"
Rb 0.0000 0.0000 0.0000
Au 1.5576 -0.4483 3.8249
S -1.6952 2.9909 5.4549
S -1.7960 5.0654 5.5596
S 1.2324 3.1901 0.9990
S -0.2139 2.2977 6.6507
S 2.8145 0.4224 2.0901
S 2.7137 2.4968 2.1948
```

Results
total magnetization	0.000	μB per cell
raw formation energy	-0.26	eV/atom
N(E_F)	0.00	states/eV per cell

Crystalline Tm2HfSe5 at its relaxed geometry. Source: Alexandria, functional PBE.

extended XYZ file:
```
16
Lattice="2.7203 -6.6963 0.0000 2.7203 6.6963 0.0000 0.0000 0.0000 13.1906" Properties=species:S:1:pos:R:3 pbc="T T T"
Tm 2.7203 4.6993 7.3730
Tm 2.7203 4.6993 12.4129
Tm 2.7203 -4.6993 0.7777
Tm 2.7203 -4.6993 5.8176
Hf 2.7203 4.1069 3.2976
Hf 2.7203 -4.1069 9.8929
Se 2.7203 6.0599 1.6171
Se 2.7203 6.0599 4.9782
Se 2.7203 3.1944 9.8929
Se 2.7203 2.4661 1.0826
Se 2.7203 2.4661 5.5127
Se 2.7203 -2.4661 7.6778
Se 2.7203 -2.4661 12.1080
Se 2.7203 -3.1944 3.2976
Se 2.7203 -6.0599 8.2124
Se 2.7203 -6.0599 11.5735
```

Results
total magnetization	0.000	μB per cell
raw formation energy	-1.58	eV/atom

Crystalline RbScI2O at its relaxed geometry. Source: Alexandria, functional PBE.

extended XYZ file:
```
5
Lattice="6.4029 0.0000 0.0000 0.0000 6.4029 0.0000 0.0000 0.0000 4.3016" Properties=species:S:1:pos:R:3 pbc="T T T"
Rb 0.0000 0.0000 0.0000
Sc 3.2014 3.2014 2.1508
I 0.0000 3.2014 0.0000
I 3.2014 0.0000 0.0000
O 0.0000 0.0000 2.1508
```

Results
total magnetization	1.068	μB per cell
raw formation energy	0.12	eV/atom
N(E_F)	4.92	states/eV per cell

Crystalline La2DyLu at its relaxed geometry. Source: Alexandria, functional PBE.

extended XYZ file:
```
4
Lattice="5.2113 0.0000 0.0000 0.0000 5.2113 0.0000 0.0000 0.0000 4.9444" Properties=species:S:1:pos:R:3 pbc="T T T"
La 0.0000 2.6057 0.0000
La 2.6057 0.0000 0.0000
Dy 0.0000 0.0000 2.4722
Lu 2.6057 2.6057 2.4722
```

Results
calculated formation energy	0.024	eV per atom
total magnetization	0.000	μB per cell
N(E_F)	5.96	states/eV per cell

Crystalline Pr2GaPb at its relaxed geometry. Source: Alexandria, functional PBE.

extended XYZ file:
```
8
Lattice="6.3380 0.0000 0.0000 0.0000 4.3410 0.0000 -2.8360 0.0000 8.6960" Properties=species:S:1:pos:R:3 pbc="T T T"
Pr 0.0397 1.0853 3.6862
Pr 1.5872 3.2558 0.5392
Pr 1.9148 1.0853 8.1568
Pr 3.4622 3.2558 5.0097
Ga -1.4573 1.0853 6.8835
Ga 4.9593 3.2558 1.8125
Pb 0.3558 3.2558 6.1808
Pb 3.1462 1.0853 2.5151
```

Results
calculated formation energy	-0.583	eV per atom
total magnetization	0.351	μB per cell
N(E_F)	8.38	states/eV per cell

Crystalline Ba2ZnIrAu at its relaxed geometry. Source: Alexandria, functional PBE.

extended XYZ file:
```
5
Lattice="5.9934 0.0000 0.0000 0.0000 5.9934 0.0000 0.0000 0.0000 4.8262" Properties=species:S:1:pos:R:3 pbc="T T T"
Ba 0.0000 2.9967 0.0000
Ba 2.9967 0.0000 0.0000
Zn 0.0000 0.0000 2.4131
Ir 0.0000 0.0000 0.0000
Au 2.9967 2.9967 2.4131
```

Results
calculated formation energy	-0.252	eV per atom
total magnetization	0.000	μB per cell
N(E_F)	1.77	states/eV per cell

Crystalline LiTa2Pb at its relaxed geometry. Source: Alexandria, functional PBE.

extended XYZ file:
```
4
Lattice="3.6373 0.0000 0.0000 0.0000 3.6373 0.0000 0.0000 0.0000 5.6446" Properties=species:S:1:pos:R:3 pbc="T T T"
Li 0.0000 0.0000 0.0000
Ta 1.8187 1.8187 1.3681
Ta 1.8187 1.8187 4.2766
Pb 0.0000 0.0000 2.8223
```

Results
calculated formation energy	0.603	eV per atom
total magnetization	0.000	μB per cell
N(E_F)	2.01	states/eV per cell

no.,uncorrected energy (Ha/atom)
1,-0.1981
2,-0.1429
3,-0.2247
4,-0.1086
5,-0.1735
6,-0.1711
7,-0.1361
8,-0.2473